Entry 1:
VASP calculation (GGA-PBE) on a relaxed KRb2Bi crystal.

Summary:
* energy relative to the elements: -0.087 eV/atom
* total moment: 0.000 μB/cell
* DFT total energy: -1.815 eV/atom
* crystal system: tetragonal

Cell and atoms, written as CIF:
```
data_KRb2Bi
_chemical_formula_sum 'K2 Rb4 Bi2'
_space_group_name_H-M_alt 'P 1'
_space_group_IT_number 1
_cell_length_a 5.7201
_cell_length_b 5.7201
_cell_length_c 13.4685
_cell_angle_alpha 77.74
_cell_angle_beta 77.74
_cell_angle_gamma 90.00
loop_
_space_group_symop_operation_xyz
'x,y,z'
loop_
_atom_site_label
_atom_site_fract_x
_atom_site_fract_y
_atom_site_fract_z
Rb1 0.8750 0.8980 0.7500
Rb2 0.6480 0.1250 0.2500
Rb3 0.3750 0.3520 0.7500
K1 0.5000 0.5000 0.0000
Bi1 0.0000 0.0000 0.0000
K2 0.2500 0.7500 0.5000
Rb4 0.1020 0.6250 0.2500
Bi2 0.7500 0.2500 0.5000
```

---

Entry 2:
VASP calculation (GGA-PBE) on a relaxed InCu2Sn crystal.

Summary:
* energy relative to the elements: 0.025 eV/atom
* total moment: 0.000 μB/cell
* DFT total energy: -3.708 eV/atom
* crystal system: monoclinic

Cell and atoms, written as CIF:
```
data_InCu2Sn
_chemical_formula_sum 'In1 Cu2 Sn1'
_space_group_name_H-M_alt 'P 1'
_space_group_IT_number 1
_cell_length_a 3.5741
_cell_length_b 4.1767
_cell_length_c 5.2593
_cell_angle_alpha 90.00
_cell_angle_beta 110.16
_cell_angle_gamma 90.00
loop_
_space_group_symop_operation_xyz
'x,y,z'
loop_
_atom_site_label
_atom_site_fract_x
_atom_site_fract_y
_atom_site_fract_z
Sn1 0.7280 0.0000 0.9966
Cu1 0.0067 0.0000 0.5547
In1 0.4374 0.5000 0.4121
Cu2 0.1589 0.5000 0.8546
```

---

Entry 3:
VASP calculation (GGA-PBE) on a relaxed Sm7HoIn4 crystal.

Summary:
* energy relative to the elements: -0.123 eV/atom
* total moment: 0.000 μB/cell
* DFT total energy: -4.170 eV/atom
* crystal system: monoclinic

Cell and atoms, written as CIF:
```
data_Sm7HoIn4
_chemical_formula_sum 'Sm7 Ho1 In4'
_space_group_name_H-M_alt 'P 1'
_space_group_IT_number 1
_cell_length_a 5.7676
_cell_length_b 9.4077
_cell_length_c 7.8857
_cell_angle_alpha 75.03
_cell_angle_beta 68.55
_cell_angle_gamma 72.15
loop_
_space_group_symop_operation_xyz
'x,y,z'
loop_
_atom_site_label
_atom_site_fract_x
_atom_site_fract_y
_atom_site_fract_z
Sm1 0.0633 0.6064 0.2670
In1 0.3190 0.3339 0.0282
Sm2 0.7934 0.8801 0.5332
In2 0.5576 0.2478 0.6371
Sm3 0.9367 0.3936 0.7330
In3 0.6810 0.6661 0.9718
Sm4 0.7222 0.3370 0.2186
Ho1 0.0000 0.0000 0.0000
In4 0.4424 0.7522 0.3629
Sm5 0.2778 0.6630 0.7814
Sm6 0.2066 0.1199 0.4668
Sm7 0.5000 0.0000 0.0000
```

---

Entry 4:
VASP calculation (GGA-PBE) on a relaxed CePm2Bi crystal.

Summary:
* energy relative to the elements: 0.044 eV/atom
* relative energy among the computed polymorphs: 429 meV per atom
* total moment: 0.767 μB/cell
* DFT total energy: -4.785 eV/atom
* crystal system: trigonal

Cell and atoms, written as CIF:
```
data_CePm2Bi
_chemical_formula_sum 'Ce1 Pm2 Bi1'
_space_group_name_H-M_alt 'P 1'
_space_group_IT_number 1
_cell_length_a 3.5482
_cell_length_b 3.5482
_cell_length_c 12.4389
_cell_angle_alpha 81.80
_cell_angle_beta 81.80
_cell_angle_gamma 60.00
loop_
_space_group_symop_operation_xyz
'x,y,z'
loop_
_atom_site_label
_atom_site_fract_x
_atom_site_fract_y
_atom_site_fract_z
Pm1 0.0880 0.0880 0.7359
Pm2 0.9120 0.9120 0.2641
Ce1 0.5000 0.5000 0.5000
Bi1 0.0000 0.0000 0.0000
```

---

Entry 5:
VASP calculation (GGA-PBE) on a relaxed RbPuRuO6 crystal.

Summary:
* total moment: 2.369 μB/cell
* uncorrected formation energy: -1.819 eV per atom
* DFT total energy: -7.855 eV/atom
* crystal system: orthorhombic

Cell and atoms, written as CIF:
```
data_RbPuRuO6
_chemical_formula_sum 'Rb2 Pu2 Ru2 O12'
_space_group_name_H-M_alt 'P 1'
_space_group_IT_number 1
_cell_length_a 7.7985
_cell_length_b 7.2174
_cell_length_c 7.4984
_cell_angle_alpha 118.77
_cell_angle_beta 121.33
_cell_angle_gamma 90.00
loop_
_space_group_symop_operation_xyz
'x,y,z'
loop_
_atom_site_label
_atom_site_fract_x
_atom_site_fract_y
_atom_site_fract_z
O1 0.5415 0.2915 0.0830
O2 0.4468 0.0810 0.2576
O3 0.4585 0.7085 0.9170
O4 0.1892 0.9190 0.7424
O5 0.4468 0.6766 0.2576
Pu1 0.5000 0.0000 0.5000
Rb1 0.8657 0.6157 0.7315
O6 0.5532 0.3234 0.7424
Rb2 0.1343 0.3843 0.2685
O7 0.8269 0.0769 0.6538
Ru1 0.5000 0.0000 0.0000
O8 0.8108 0.6766 0.2576
O9 0.1892 0.3234 0.7424
O10 0.8108 0.0810 0.2576
O11 0.1731 0.9231 0.3462
Pu2 0.0000 0.0000 0.5000
O12 0.5532 0.9190 0.7424
Ru2 0.5000 0.5000 0.0000
```

---

Entry 6:
VASP calculation (GGA-PBE) on a relaxed MgCdCu3 crystal.

Summary:
* energy relative to the elements: 0.770 eV/atom
* relative energy among the computed polymorphs: 826 meV per atom
* total moment: 0.000 μB/cell
* DFT total energy: -2.190 eV/atom
* crystal system: cubic

Cell and atoms, written as CIF:
```
data_MgCdCu3
_chemical_formula_sum 'Mg1 Cd1 Cu3'
_space_group_name_H-M_alt 'P 1'
_space_group_IT_number 1
_cell_length_a 4.7801
_cell_length_b 4.7801
_cell_length_c 4.7801
_cell_angle_alpha 90.00
_cell_angle_beta 90.00
_cell_angle_gamma 90.00
loop_
_space_group_symop_operation_xyz
'x,y,z'
loop_
_atom_site_label
_atom_site_fract_x
_atom_site_fract_y
_atom_site_fract_z
Cu1 0.0000 0.0000 0.5000
Cu2 0.5000 0.0000 0.0000
Cd1 0.0000 0.0000 0.0000
Cu3 0.0000 0.5000 0.0000
Mg1 0.5000 0.5000 0.5000
```

---

Entry 7:
VASP calculation (GGA-PBE) on a relaxed BaLi2PdO4 crystal.

Summary:
* total moment: 0.000 μB/cell
* uncorrected formation energy: -1.341 eV per atom
* DFT total energy: -5.188 eV/atom
* crystal system: tetragonal

Cell and atoms, written as CIF:
```
data_BaLi2PdO4
_chemical_formula_sum 'Ba1 Li2 Pd1 O4'
_space_group_name_H-M_alt 'P 1'
_space_group_IT_number 1
_cell_length_a 5.5000
_cell_length_b 5.5000
_cell_length_c 5.5000
_cell_angle_alpha 123.04
_cell_angle_beta 123.04
_cell_angle_gamma 84.81
loop_
_space_group_symop_operation_xyz
'x,y,z'
loop_
_atom_site_label
_atom_site_fract_x
_atom_site_fract_y
_atom_site_fract_z
Li1 0.7500 0.2500 0.5000
O1 0.0070 0.0070 0.3654
Li2 0.2500 0.7500 0.5000
O2 0.6416 0.6416 0.6346
Pd1 0.0000 0.0000 0.0000
Ba1 0.5000 0.5000 0.0000
O3 0.3584 0.9930 0.0000
O4 0.9930 0.3584 0.0000
```

---

Entry 8:
VASP calculation (GGA-PBE) on a relaxed NaCeCuSe3 crystal.

Summary:
* total moment: 0.362 μB/cell
* uncorrected formation energy: -1.184 eV per atom
* DFT total energy: -4.817 eV/atom
* crystal system: monoclinic

Cell and atoms, written as CIF:
```
data_NaCeCuSe3
_chemical_formula_sum 'Na2 Ce2 Cu2 Se6'
_space_group_name_H-M_alt 'P 1'
_space_group_IT_number 1
_cell_length_a 4.1017
_cell_length_b 8.4734
_cell_length_c 9.1728
_cell_angle_alpha 102.89
_cell_angle_beta 90.00
_cell_angle_gamma 90.00
loop_
_space_group_symop_operation_xyz
'x,y,z'
loop_
_atom_site_label
_atom_site_fract_x
_atom_site_fract_y
_atom_site_fract_z
Ce1 0.7500 0.3197 0.8294
Na1 0.7500 0.8102 0.7638
Se1 0.2500 0.7815 0.4857
Cu1 0.2500 0.0823 0.5836
Se2 0.7500 0.9058 0.1448
Na2 0.2500 0.1898 0.2362
Ce2 0.2500 0.6803 0.1706
Se3 0.7500 0.2185 0.5143
Se4 0.7500 0.4347 0.1588
Cu2 0.7500 0.9177 0.4164
Se5 0.2500 0.0942 0.8552
Se6 0.2500 0.5653 0.8412
```

---

Entry 9:
VASP calculation (GGA-PBE) on a relaxed ThGa3CoIr crystal.

Summary:
* energy relative to the elements: -0.301 eV/atom
* total moment: 0.000 μB/cell
* DFT total energy: -5.712 eV/atom
* crystal system: orthorhombic

Cell and atoms, written as CIF:
```
data_ThGa3CoIr
_chemical_formula_sum 'Th2 Ga6 Co2 Ir2'
_space_group_name_H-M_alt 'P 1'
_space_group_IT_number 1
_cell_length_a 5.9525
_cell_length_b 7.7588
_cell_length_c 6.4103
_cell_angle_alpha 127.24
_cell_angle_beta 90.00
_cell_angle_gamma 90.00
loop_
_space_group_symop_operation_xyz
'x,y,z'
loop_
_atom_site_label
_atom_site_fract_x
_atom_site_fract_y
_atom_site_fract_z
Ir1 0.7500 0.5216 0.0432
Ga1 0.2500 0.2376 0.4752
Ir2 0.2500 0.4784 0.9568
Ga2 0.7500 0.7624 0.5248
Ga3 0.5000 0.7608 0.0000
Co1 0.7500 0.9885 0.9770
Th1 0.7500 0.2447 0.4894
Ga4 0.0000 0.7608 0.0000
Co2 0.2500 0.0115 0.0230
Ga5 0.0000 0.2392 0.0000
Ga6 0.5000 0.2392 0.0000
Th2 0.2500 0.7553 0.5106
```

---

Entry 10:
VASP calculation (GGA-PBE) on a relaxed PmSm2IO8 crystal.

Summary:
* total moment: 0.000 μB/cell
* uncorrected formation energy: -2.263 eV per atom
* DFT total energy: -6.880 eV/atom
* crystal system: orthorhombic

Cell and atoms, written as CIF:
```
data_PmSm2IO8
_chemical_formula_sum 'Pm1 Sm2 I1 O8'
_space_group_name_H-M_alt 'P 1'
_space_group_IT_number 1
_cell_length_a 5.1392
_cell_length_b 5.1384
_cell_length_c 7.0158
_cell_angle_alpha 90.00
_cell_angle_beta 90.00
_cell_angle_gamma 90.34
loop_
_space_group_symop_operation_xyz
'x,y,z'
loop_
_atom_site_label
_atom_site_fract_x
_atom_site_fract_y
_atom_site_fract_z
O1 0.8218 0.1787 0.2018
O2 0.7379 0.7385 0.0000
I1 0.0000 0.0000 0.0000
O3 0.3115 0.3113 0.5000
O4 0.1782 0.8213 0.7982
O5 0.6885 0.6887 0.5000
Sm1 0.5000 0.5000 0.7513
O6 0.8218 0.1787 0.7982
O7 0.2621 0.2615 0.0000
O8 0.1782 0.8213 0.2018
Sm2 0.5000 0.5000 0.2487
Pm1 0.0000 0.0000 0.5000
```

---

Entry 11:
VASP calculation (GGA-PBE) on a relaxed TlMoAs2Pb crystal.

Summary:
* energy relative to the elements: 1.394 eV/atom
* total moment: 3.467 μB/cell
* DFT total energy: -3.847 eV/atom
* crystal system: tetragonal

Cell and atoms, written as CIF:
```
data_TlMoAs2Pb
_chemical_formula_sum 'Tl1 Mo1 As2 Pb1'
_space_group_name_H-M_alt 'P 1'
_space_group_IT_number 1
_cell_length_a 5.3297
_cell_length_b 5.3366
_cell_length_c 5.3297
_cell_angle_alpha 90.00
_cell_angle_beta 90.00
_cell_angle_gamma 90.00
loop_
_space_group_symop_operation_xyz
'x,y,z'
loop_
_atom_site_label
_atom_site_fract_x
_atom_site_fract_y
_atom_site_fract_z
Mo1 0.0000 0.5000 0.0000
As1 0.0000 0.0000 0.5000
As2 0.5000 0.0000 0.0000
Pb1 0.5000 0.5000 0.5000
Tl1 0.0000 0.0000 0.0000
```

---

Repeat the eighth record exactly.
VASP calculation (GGA-PBE) on a relaxed NaCeCuSe3 crystal.

Summary:
* total moment: 0.362 μB/cell
* uncorrected formation energy: -1.184 eV per atom
* DFT total energy: -4.817 eV/atom
* crystal system: monoclinic

Cell and atoms, written as CIF:
```
data_NaCeCuSe3
_chemical_formula_sum 'Na2 Ce2 Cu2 Se6'
_space_group_name_H-M_alt 'P 1'
_space_group_IT_number 1
_cell_length_a 4.1017
_cell_length_b 8.4734
_cell_length_c 9.1728
_cell_angle_alpha 102.89
_cell_angle_beta 90.00
_cell_angle_gamma 90.00
loop_
_space_group_symop_operation_xyz
'x,y,z'
loop_
_atom_site_label
_atom_site_fract_x
_atom_site_fract_y
_atom_site_fract_z
Ce1 0.7500 0.3197 0.8294
Na1 0.7500 0.8102 0.7638
Se1 0.2500 0.7815 0.4857
Cu1 0.2500 0.0823 0.5836
Se2 0.7500 0.9058 0.1448
Na2 0.2500 0.1898 0.2362
Ce2 0.2500 0.6803 0.1706
Se3 0.7500 0.2185 0.5143
Se4 0.7500 0.4347 0.1588
Cu2 0.7500 0.9177 0.4164
Se5 0.2500 0.0942 0.8552
Se6 0.2500 0.5653 0.8412
```

---

Question: total moment of number 7 (BaLi2PdO4)?
Answer: 0.000 μB/cell